No. 1
{"formula": "NdSm6Tm5", "functional": "GGA-PBE", "state": "relaxed", "cell": [[0.3185, 4.8441, 1.4307], [-6.7098, 1.9302, 3.9100], [4.2420, -2.8443, 8.6830]], "species": ["Tm", "Tm", "Sm", "Tm", "Nd", "Sm", "Sm", "Sm", "Sm", "Tm", "Sm", "Tm"], "fractional_positions": [[0.3319, 0.3362, 0.0000], [0.0000, 0.0000, 0.5000], [0.8329, 0.3340, 0.2518], [0.6666, 0.6668, 0.5000], [0.0000, 0.0000, 0.0000], [0.5002, 0.0000, 0.2525], [0.1670, 0.6660, 0.2518], [0.4998, 0.0000, 0.7475], [0.8330, 0.3340, 0.7482], [0.6681, 0.6638, 0.0000], [0.1671, 0.6660, 0.7482], [0.3334, 0.3332, 0.5000]], "sg": "No. 65", "dos_at_fermi_per_ev_cell": 16.99, "formation_enthalpy_0k_ev_per_atom": 0.021}

***

No. 2
{"formula": "Fe3Ir", "functional": "GGA-PBE", "state": "relaxed", "cell": [[5.1829, -0.0477, 0.0000], [-2.6443, 4.4579, 0.0000], [0.0000, 0.0000, 4.1195]], "species": ["Ir", "Fe", "Fe", "Fe", "Ir", "Fe", "Fe", "Fe"], "fractional_positions": [[0.5877, 0.4123, 0.2500], [0.0801, 0.9199, 0.2500], [0.5858, 0.9263, 0.2500], [0.9263, 0.5858, 0.7500], [0.4123, 0.5877, 0.7500], [0.9199, 0.0801, 0.7500], [0.4142, 0.0737, 0.7500], [0.0737, 0.4142, 0.2500]], "sg": "No. 63", "dos_at_fermi_per_ev_cell": 9.64, "formation_enthalpy_0k_ev_per_atom": 0.020}

***

No. 3
{"formula": "Ni4Pd3Pt4", "functional": "GGA-PBE", "state": "relaxed", "cell": [[-3.0247, -2.4761, 1.9989], [2.6331, 0.4211, 4.5061], [-3.5442, 6.9160, -1.6174]], "species": ["Ni", "Pt", "Ni", "Ni", "Ni", "Pt", "Pd", "Pt", "Pd", "Pt", "Pd"], "fractional_positions": [[0.3254, 0.5657, 0.6508], [0.1833, 0.6833, 0.3667], [0.6746, 0.4343, 0.3492], [0.3254, 0.0851, 0.6508], [0.6746, 0.9149, 0.3492], [0.8167, 0.3167, 0.6333], [0.0000, 0.5000, 0.0000], [0.5000, 0.2400, 0.0000], [0.1053, 0.1053, 0.2106], [0.5000, 0.7600, 0.0000], [0.8947, 0.8947, 0.7894]], "sg": "No. 71", "dos_at_fermi_per_ev_cell": 17.28, "formation_enthalpy_0k_ev_per_atom": 0.198}

***

No. 4
{"formula": "Pm2PrHf", "functional": "GGA-PBE", "state": "relaxed", "cell": [[-2.4121, 2.9952, -3.1801], [-0.6293, -3.8135, -3.1146], [-4.2997, -1.1045, 2.2210]], "species": ["Hf", "Pm", "Pm", "Pr"], "fractional_positions": [[0.5000, 0.0000, 0.0000], [0.0000, 0.0000, 0.5000], [0.0000, 0.5000, 0.0000], [0.5000, 0.5000, 0.5000]], "de_polymorph_ev_per_atom": 0.000, "sg": "No. 123", "dos_at_fermi_per_ev_cell": 4.14, "formation_enthalpy_0k_ev_per_atom": 0.188}

***

No. 5
{"formula": "Mn2Al2P", "functional": "GGA-PBE", "state": "relaxed", "cell": [[3.5355, 5.6017, 3.2304], [-0.4166, 7.1430, 1.7662], [-2.4983, -6.9130, -0.5334]], "species": ["Mn", "Al", "P", "Mn", "Al"], "fractional_positions": [[0.7500, 0.2500, 0.5000], [0.4000, 0.4000, 0.0000], [0.0000, 0.0000, 0.0000], [0.2500, 0.7500, 0.5000], [0.6000, 0.6000, 0.0000]], "de_polymorph_ev_per_atom": 0.539, "sg": "No. 139", "dos_at_fermi_per_ev_cell": 3.86, "formation_enthalpy_0k_ev_per_atom": 0.250}

***

No. 6
{"formula": "KLi2HgAs", "functional": "GGA-PBE", "state": "relaxed", "cell": [[4.9763, 0.0000, 0.0000], [0.0000, 4.9763, 0.0000], [0.0000, 0.0000, 6.4032]], "species": ["As", "K", "Hg", "Li", "Li"], "fractional_positions": [[0.0000, 0.0000, 0.0000], [0.0000, 0.0000, 0.5000], [0.5000, 0.5000, 0.5000], [0.0000, 0.5000, 0.0000], [0.5000, 0.0000, 0.0000]], "de_polymorph_ev_per_atom": 0.000, "sg": "No. 123", "dos_at_fermi_per_ev_cell": 0.22, "formation_enthalpy_0k_ev_per_atom": -0.360}

***

No. 7
{"formula": "DyMg2OsO8", "functional": "GGA-PBE", "state": "relaxed", "cell": [[-1.6184, -4.3774, 0.6957], [3.1300, -0.3814, 3.5033], [-4.4462, 2.3151, 4.2244]], "species": ["O", "Dy", "O", "O", "O", "O", "Mg", "Mg", "O", "Os", "O", "O"], "fractional_positions": [[0.6719, 0.6730, 0.5000], [0.0000, 0.0000, 0.5000], [0.2871, 0.2864, 0.0000], [0.8104, 0.1905, 0.7939], [0.1896, 0.8095, 0.2061], [0.1896, 0.8095, 0.7940], [0.5000, 0.5000, 0.2388], [0.5000, 0.5000, 0.7612], [0.3281, 0.3270, 0.5000], [0.0000, 0.0000, 0.0000], [0.7129, 0.7136, 0.0000], [0.8104, 0.1905, 0.2060]], "sg": "No. 65", "dos_at_fermi_per_ev_cell": 1.89, "raw_formation_energy_mev_per_atom": -1884}

***

No. 8
{"formula": "GaTeIN2", "functional": "GGA-PBE", "state": "relaxed", "cell": [[4.1556, 0.0000, 0.0000], [0.0000, 4.1556, 0.0000], [0.0000, 0.0000, 7.8329]], "species": ["I", "N", "Ga", "N", "Te"], "fractional_positions": [[0.0000, 0.0000, 0.5000], [0.5000, 0.0000, 0.0000], [0.5000, 0.5000, 0.5000], [0.0000, 0.5000, 0.0000], [0.0000, 0.0000, 0.0000]], "de_polymorph_ev_per_atom": 0.000, "sg": "No. 123", "dos_at_fermi_per_ev_cell": 2.86, "raw_formation_energy_mev_per_atom": 1243}